1.
Entry from the Alexandria database: a relaxed ReAu crystal (PBE).

abc: 9.990 4.546 5.736
angles: 90.00 90.00 90.00
Fractional coordinates of all 16 atoms:
Re1 0.349 0.250 0.783
Re2 0.849 0.250 0.717
Re3 0.651 0.750 0.217
Re4 0.151 0.750 0.283
Re5 0.085 0.250 0.501
Re6 0.585 0.250 0.999
Re7 0.915 0.750 0.499
Re8 0.415 0.750 0.001
Au1 0.328 0.250 0.263
Au2 0.828 0.250 0.237
Au3 0.672 0.750 0.737
Au4 0.172 0.750 0.763
Au5 0.087 0.250 0.001
Au6 0.587 0.250 0.499
Au7 0.913 0.750 0.999
Au8 0.413 0.750 0.501

Values from the calculation:
size of the total moment: 0.000 μB per atom

---

2.
Entry from the Alexandria database: a relaxed ReAu crystal (PBE).

abc: 3.189 3.189 3.189
angles: 90.00 90.00 90.00
Fractional coordinates of all 2 atoms:
Au1 0.000 0.000 0.000
Re1 0.500 0.500 0.500

Values from the calculation:
size of the total moment: 0.000 μB per atom

---

Name the least stable of them. 2.

---

1.
Entry from the Alexandria database: a relaxed B2C crystal (PBE).

abc: 2.615 4.683 7.178
angles: 93.54 90.00 90.00
Fractional coordinates of all 12 atoms:
B1 0.500 0.834 0.370
B2 0.500 0.505 0.230
B3 0.500 0.196 0.880
B4 0.000 0.679 0.612
B5 0.000 0.308 0.359
B6 0.000 0.964 0.225
B7 0.000 0.002 0.989
B8 0.000 0.646 0.002
C1 0.500 0.486 0.008
C2 0.000 0.336 0.583
C3 0.500 0.185 0.655
C4 0.500 0.860 0.587

Values from the calculation:
size of the total moment: 0.000 μB per atom

---

2.
Entry from the Alexandria database: a relaxed B2C crystal (PBE).

abc: 2.471 4.887 6.996
angles: 100.20 90.00 90.00
Fractional coordinates of all 12 atoms:
B1 0.500 0.865 0.345
B2 0.500 0.471 0.244
B3 0.500 0.460 0.006
B4 0.000 0.685 0.622
B5 0.000 0.346 0.647
B6 0.000 0.372 0.394
B7 0.000 0.017 0.209
B8 0.000 0.648 0.883
C1 0.500 0.133 0.911
C2 0.000 0.990 0.974
C3 0.500 0.145 0.694
C4 0.500 0.867 0.570

Values from the calculation:
size of the total moment: 0.000 μB per atom

---

Name the least stable of them. 2.

---

1.
Entry from the Alexandria database: a relaxed Fe2Se crystal (PBE).

abc: 3.561 3.561 3.728
angles: 90.00 90.00 90.00
Each line ends with the local moment (μB).
Fractional coordinates of all 3 atoms:
Fe1 0.000 0.500 0.500  2.74
Fe2 0.500 0.000 0.500  2.74
Se1 0.000 0.000 0.000  0.07

Values from the calculation:
size of the total moment: 1.870 μB per atom

---

2.
Entry from the Alexandria database: a relaxed Fe2Se crystal (PBE).

abc: 9.712 9.712 9.712
angles: 162.05 162.05 25.49
Each line ends with the local moment (μB).
Fractional coordinates of all 6 atoms:
Fe1 0.576 0.576 0.000  2.39
Fe2 0.174 0.674 0.500  2.39
Fe3 0.424 0.424 0.000  2.39
Fe4 0.326 0.826 0.500  2.39
Se1 0.000 0.000 0.000  -0.06
Se2 0.750 0.250 0.500  -0.06

Values from the calculation:
size of the total moment: 1.572 μB per atom

---

Name the least stable of them. 2.

---

1.
Entry from the Alexandria database: a relaxed CdCu2Cl crystal (PBE).

abc: 8.065 8.065 8.065
angles: 22.53 22.53 22.53
Fractional coordinates of all 4 atoms:
Cl1 0.750 0.750 0.750
Cu1 0.006 0.006 0.006
Cu2 0.494 0.494 0.494
Cd1 0.250 0.250 0.250

Values from the calculation:
size of the total moment: 0.000 μB per atom

---

2.
Entry from the Alexandria database: a relaxed CdCu2Cl crystal (PBE).

abc: 3.179 3.178 7.065
angles: 90.00 90.00 89.92
Fractional coordinates of all 4 atoms:
Cl1 0.500 0.500 0.835
Cu1 0.000 0.000 0.025
Cu2 0.500 0.500 0.209
Cd1 0.000 0.000 0.430

Values from the calculation:
size of the total moment: 0.000 μB per atom

---

Name the least stable of them. 1.

---

1.
Entry from the Alexandria database: a relaxed TlTeRu2 crystal (PBE).

abc: 5.667 5.667 5.667
angles: 139.80 139.80 58.16
Each line ends with the local moment (μB).
Fractional coordinates of all 4 atoms:
Ru1 0.000 0.000 0.000  0.39
Ru2 0.250 0.750 0.500  0.52
Te1 0.500 0.500 0.000  -0.01
Tl1 0.750 0.250 0.500  -0.01

Values from the calculation:
size of the total moment: 0.231 μB per atom

---

2.
Entry from the Alexandria database: a relaxed TlTeRu2 crystal (PBE).

abc: 3.205 3.205 7.047
angles: 90.00 90.00 89.98
Fractional coordinates of all 4 atoms:
Ru1 0.000 0.000 0.029
Ru2 0.000 0.000 0.471
Te1 0.500 0.500 0.250
Tl1 0.500 0.500 0.750

Values from the calculation:
size of the total moment: 0.000 μB per atom

---

Name the least stable of them. 1.

---

1.
Entry from the Alexandria database: a relaxed ScNi3H crystal (PBE).

abc: 5.427 5.223 4.339
angles: 89.98 91.06 61.20
Fractional coordinates of all 10 atoms:
Sc1 0.833 0.372 0.156
Sc2 0.116 0.731 0.671
H1 0.830 0.373 0.661
H2 0.436 0.570 0.359
Ni1 0.621 0.743 0.659
Ni2 0.182 0.198 0.668
Ni3 0.325 0.887 0.163
Ni4 0.325 0.365 0.162
Ni5 0.621 0.213 0.658
Ni6 0.776 0.900 0.157

Values from the calculation:
size of the total moment: 0.000 μB per atom

---

2.
Entry from the Alexandria database: a relaxed ScNi3H crystal (PBE).

abc: 4.267 5.204 4.867
angles: 90.00 88.67 90.00
Fractional coordinates of all 10 atoms:
Sc1 0.743 0.250 0.637
Sc2 0.257 0.750 0.363
Ni1 0.750 0.007 0.153
Ni2 0.250 0.993 0.847
Ni3 0.750 0.493 0.153
Ni4 0.250 0.507 0.847
Ni5 0.258 0.250 0.299
Ni6 0.742 0.750 0.701
H1 0.029 0.250 0.005
H2 0.971 0.750 0.995

Values from the calculation:
size of the total moment: 0.000 μB per atom

---

Name the least stable of them. 2.

---

1.
Entry from the Alexandria database: a relaxed SrIrPt2 crystal (PBE).

abc: 9.865 9.865 9.865
angles: 17.07 17.07 17.07
Each line ends with the local moment (μB).
Fractional coordinates of all 4 atoms:
Ir1 0.750 0.750 0.750  0.49
Pt1 0.008 0.008 0.008  0.10
Pt2 0.492 0.492 0.492  0.10
Sr1 0.250 0.250 0.250  0.03

Values from the calculation:
size of the total moment: 0.184 μB per atom

---

2.
Entry from the Alexandria database: a relaxed SrIrPt2 crystal (PBE).

abc: 5.022 5.022 2.899
angles: 90.00 90.00 90.00
Fractional coordinates of all 4 atoms:
Ir1 0.000 0.500 0.500
Pt1 0.000 0.000 0.000
Pt2 0.500 0.500 0.000
Sr1 0.500 0.000 0.500

Values from the calculation:
size of the total moment: 0.000 μB per atom

---

Name the least stable of them. 1.

---

1.
Entry from the Alexandria database: a relaxed ReHg2Rh crystal (PBE).

abc: 4.649 4.649 4.649
angles: 60.00 60.00 60.00
Each line ends with the local moment (μB).
Fractional coordinates of all 4 atoms:
Re1 0.500 0.500 0.500  1.25
Hg1 0.000 0.000 0.000  0.00
Hg2 0.750 0.750 0.750  0.01
Rh1 0.250 0.250 0.250  0.20

Values from the calculation:
size of the total moment: 0.401 μB per atom

---

2.
Entry from the Alexandria database: a relaxed ReHg2Rh crystal (PBE).

abc: 5.092 5.092 2.854
angles: 90.00 90.00 109.46
Each line ends with the local moment (μB).
Fractional coordinates of all 4 atoms:
Re1 0.000 0.000 0.500  0.14
Hg1 0.500 0.000 0.000  0.01
Hg2 0.000 0.500 0.000  0.01
Rh1 0.500 0.500 0.500  0.26

Values from the calculation:
size of the total moment: 0.111 μB per atom

---

Name the least stable of them. 1.

---

1.
Entry from the Alexandria database: a relaxed B5C7 crystal (PBE).

abc: 2.658 2.658 16.471
angles: 90.00 90.00 120.00
Fractional coordinates of all 12 atoms:
B1 0.667 0.333 0.872
B2 0.333 0.667 0.762
B3 0.000 0.000 0.279
B4 0.000 0.000 0.523
B5 0.667 0.333 0.169
C1 0.000 0.000 0.913
C2 0.667 0.333 0.772
C3 0.667 0.333 0.269
C4 0.333 0.667 0.523
C5 0.333 0.667 0.128
C6 0.000 0.000 0.003
C7 0.333 0.667 0.038

Values from the calculation:
size of the total moment: 0.006 μB per atom

---

2.
Entry from the Alexandria database: a relaxed B5C7 crystal (PBE).

abc: 2.659 2.659 16.136
angles: 90.00 90.00 120.00
Each line ends with the local moment (μB).
Fractional coordinates of all 12 atoms:
B1 0.667 0.333 0.919  0.00
B2 0.667 0.333 0.694  0.01
B3 0.000 0.000 0.341  0.00
B4 0.333 0.667 0.453  0.00
B5 0.333 0.667 0.167  0.00
C1 0.000 0.000 0.932  0.00
C2 0.333 0.667 0.694  0.06
C3 0.667 0.333 0.297  0.00
C4 0.000 0.000 0.442  0.00
C5 0.667 0.333 0.210  0.00
C6 0.000 0.000 0.035  0.00
C7 0.333 0.667 0.067  0.00

Values from the calculation:
size of the total moment: 0.012 μB per atom

---

Name the least stable of them. 2.

---

1.
Entry from the Alexandria database: a relaxed CoTc2 crystal (PBE).

abc: 12.058 12.058 12.058
angles: 167.52 167.52 17.68
Each line ends with the local moment (μB).
Fractional coordinates of all 6 atoms:
Co1 0.000 0.000 0.000  0.86
Co2 0.750 0.250 0.500  0.86
Tc1 0.326 0.826 0.500  0.07
Tc2 0.174 0.674 0.500  0.07
Tc3 0.576 0.576 0.000  0.07
Tc4 0.424 0.424 0.000  0.07

Values from the calculation:
size of the total moment: 0.332 μB per atom

---

2.
Entry from the Alexandria database: a relaxed CoTc2 crystal (PBE).

abc: 5.917 5.917 5.917
angles: 154.07 154.07 37.00
Each line ends with the local moment (μB).
Fractional coordinates of all 3 atoms:
Co1 0.500 0.500 0.000  0.12
Tc1 0.159 0.159 0.000  0.01
Tc2 0.841 0.841 0.000  0.01

Values from the calculation:
size of the total moment: 0.048 μB per atom

---

Name the least stable of them. 1.